DFT (GGA-PBE) results for crystalline TaBSb2 at its relaxed geometry.

Results
Raw formation energy: 0.881 eV/atom
Crystal system: tetragonal

abc: 6.3005 6.3005 6.4007
angles: 60.52 60.52 90.00
Last column: nearest neighbours and their distance in Å.
Positions (direct):
Sb  0.5581  0.1250  0.2500  2 B 2.27
Sb  0.1919  0.6250  0.2500  2 B 2.27
Sb  0.3750  0.4419  0.7500  2 B 2.27
Sb  0.8750  0.8081  0.7500  2 B 2.27
B  0.5000  0.5000  0.0000  4 Sb 2.27
B  0.2500  0.7500  0.5000  4 Sb 2.27
Ta  0.0000  0.0000  0.0000  4 Sb 2.79
Ta  0.7500  0.2500  0.5000  4 Sb 2.79



DFT (GGA-PBE) results for crystalline Ta2BSb at its relaxed geometry.

Results
Raw formation energy: 0.643 eV/atom
Crystal system: cubic

abc: 4.5233 4.5233 4.5233
angles: 60.00 60.00 60.00
Last column: nearest neighbours and their distance in Å.
Positions (direct):
Sb  0.5000  0.5000  0.5000  8 Ta 2.77
B  0.0000  0.0000  0.0000  8 Ta 2.77
Ta  0.2500  0.2500  0.2500  4 Sb 2.77, 4 B 2.77
Ta  0.7500  0.7500  0.7500  4 Sb 2.77, 4 B 2.77



DFT (GGA-PBE) results for crystalline TaBSb3 at its relaxed geometry.

Results
Raw formation energy: 1.316 eV/atom
Crystal system: cubic

abc: 5.3446 5.3446 5.3446
angles: 90.00 90.00 90.00
Last column: nearest neighbours and their distance in Å.
Positions (direct):
Sb  0.0000  0.5000  0.0000  2 Ta 2.67
Sb  0.0000  0.0000  0.5000  2 Ta 2.67
Sb  0.5000  0.0000  0.0000  2 Ta 2.67
B  0.5000  0.5000  0.5000  12 Sb 3.78
Ta  0.0000  0.0000  0.0000  6 Sb 2.67



DFT (GGA-PBE) results for crystalline TaBSb3 at its relaxed geometry.

Results
Raw formation energy: 1.088 eV/atom
Crystal system: cubic

abc: 4.7343 4.7343 4.7343
angles: 90.00 90.00 90.00
Last column: nearest neighbours and their distance in Å.
Positions (direct):
Sb  0.0000  0.5000  0.0000  2 B 2.37
Sb  0.0000  0.0000  0.5000  2 B 2.37
Sb  0.5000  0.0000  0.0000  2 B 2.37
B  0.0000  0.0000  0.0000  6 Sb 2.37
Ta  0.5000  0.5000  0.5000  12 Sb 3.35



DFT (GGA-PBE) results for crystalline TaBSb2Te at its relaxed geometry.

Results
Raw formation energy: 1.281 eV/atom
Crystal system: tetragonal

abc: 5.3811 5.3811 5.3475
angles: 90.00 90.00 90.00
Last column: nearest neighbours and their distance in Å.
Positions (direct):
Sb  0.0000  0.5000  0.0000  2 Ta 2.69
Sb  0.5000  0.0000  0.0000  2 Ta 2.69
B  0.5000  0.5000  0.5000  8 Sb 3.79, 4 Te 3.81
Te  0.0000  0.0000  0.5000  2 Ta 2.67
Ta  0.0000  0.0000  0.0000  2 Te 2.67, 4 Sb 2.69



DFT (GGA-PBE) results for crystalline TaBSb2Te at its relaxed geometry.

Results
Raw formation energy: 1.062 eV/atom
Crystal system: tetragonal

abc: 4.7484 4.7484 4.7134
angles: 90.00 90.00 90.00
Last column: nearest neighbours and their distance in Å.
Positions (direct):
Sb  0.0000  0.5000  0.0000  2 B 2.37
Sb  0.5000  0.0000  0.0000  2 B 2.37
B  0.0000  0.0000  0.0000  2 Te 2.36, 4 Sb 2.37
Te  0.0000  0.0000  0.5000  2 B 2.36
Ta  0.5000  0.5000  0.5000  8 Sb 3.35, 4 Te 3.36



DFT (GGA-PBE) results for crystalline Y2TaBSb at its relaxed geometry.

Results
Raw formation energy: 1.293 eV/atom
Crystal system: tetragonal

abc: 5.7453 4.1632 5.7453
angles: 90.00 90.00 90.00
Last column: nearest neighbours and their distance in Å.
Positions (direct):
Y  0.0000  0.0000  0.5000  2 Sb 2.87
Y  0.5000  0.0000  0.0000  2 Sb 2.87
Sb  0.0000  0.0000  0.0000  2 B 2.08
B  0.0000  0.5000  0.0000  2 Sb 2.08
Ta  0.5000  0.5000  0.5000  8 Y 3.55



DFT (GGA-PBE) results for crystalline TaZnBSb2 at its relaxed geometry.

Results
Raw formation energy: 1.195 eV/atom
Crystal system: tetragonal

abc: 5.2703 3.7173 5.2703
angles: 90.00 90.00 90.00
Last column: nearest neighbours and their distance in Å.
Positions (direct):
Sb  0.0000  0.0000  0.5000  2 Zn 2.64
Sb  0.5000  0.0000  0.0000  2 Zn 2.64
Zn  0.0000  0.0000  0.0000  2 B 1.86
B  0.0000  0.5000  0.0000  2 Zn 1.86
Ta  0.5000  0.5000  0.5000  8 Sb 3.22



DFT (GGA-PBE) results for crystalline TbBSb at its relaxed geometry.

Results
Raw formation energy: -0.267 eV/atom
Crystal system: monoclinic

abc: 3.9666 5.4699 6.4480
angles: 103.35 90.00 111.26
Last column: nearest neighbours and their distance in Å.
Positions (direct):
Tb  0.1179  0.2358  0.8243  2 B 2.64
Tb  0.8821  0.7642  0.1757  2 B 2.64
Sb  0.3696  0.7392  0.5658  1 B 2.25
Sb  0.6304  0.2608  0.4342  1 B 2.25
B  0.5797  0.1595  0.0734  1 B 1.67
B  0.4203  0.8405  0.9266  1 B 1.67



DFT (GGA-PBE) results for crystalline Tc3BSb at its relaxed geometry.

Results
Raw formation energy: 2.801 eV/atom
Crystal system: cubic

abc: 4.8423 4.8423 4.8423
angles: 90.00 90.00 90.00
Last column: nearest neighbours and their distance in Å.
Positions (direct):
Sb  0.0000  0.0000  0.0000  6 Tc 2.42
B  0.5000  0.5000  0.5000  12 Tc 3.42
Tc  0.0000  0.5000  0.0000  2 Sb 2.42
Tc  0.0000  0.0000  0.5000  2 Sb 2.42
Tc  0.5000  0.0000  0.0000  2 Sb 2.42



DFT (GGA-PBE) results for crystalline Tc2BSb at its relaxed geometry.

Results
Raw formation energy: 0.573 eV/atom
Crystal system: cubic

abc: 4.3081 4.3081 4.3081
angles: 60.00 60.00 60.00
Last column: nearest neighbours and their distance in Å.
Positions (direct):
Sb  0.5000  0.5000  0.5000  8 Tc 2.64
B  0.0000  0.0000  0.0000  8 Tc 2.64
Tc  0.2500  0.2500  0.2500  4 Sb 2.64, 4 B 2.64
Tc  0.7500  0.7500  0.7500  4 Sb 2.64, 4 B 2.64



DFT (GGA-PBE) results for crystalline TcBSb3 at its relaxed geometry.

Results
Raw formation energy: 1.136 eV/atom
Crystal system: cubic

abc: 4.7101 4.7101 4.7101
angles: 90.00 90.00 90.00
Last column: nearest neighbours and their distance in Å.
Positions (direct):
Sb  0.0000  0.5000  0.0000  2 B 2.36
Sb  0.0000  0.0000  0.5000  2 B 2.36
Sb  0.5000  0.0000  0.0000  2 B 2.36
B  0.0000  0.0000  0.0000  6 Sb 2.36
Tc  0.5000  0.5000  0.5000  12 Sb 3.33